{
  "formula": "Rb2Mg2Co",
  "functional": "PBEsol",
  "state": "optimized geometry",
  "lattice": [[4.129, 0.000, 0.000], [0.000, 4.129, 0.000], [-2.064, -2.064, 11.170]],
  "species": ["Mg", "Mg", "Co", "Rb", "Rb"],
  "frac_coords": [[0.250, 0.750, 0.500], [0.750, 0.250, 0.500], [0.000, 0.000, 0.000], [0.409, 0.409, 0.818], [0.591, 0.591, 0.182]]
}

***

{
  "formula": "MgCo2Re",
  "functional": "PBEsol",
  "state": "optimized geometry",
  "lattice": [[-1.839, -0.697, 1.846], [-1.728, -0.649, -1.966], [2.459, -6.520, -0.011]],
  "species": ["Re", "Mg", "Co", "Co"],
  "frac_coords": [[0.500, 0.500, 0.500], [0.500, 0.500, 0.000], [0.000, 0.000, 0.735], [0.000, 0.000, 0.265]]
}

***

{
  "formula": "MgCo2Re",
  "functional": "PBEsol",
  "state": "optimized geometry",
  "lattice": [[2.673, 0.000, 0.000], [0.000, 3.426, 0.000], [0.000, 0.000, 5.647]],
  "species": ["Co", "Co", "Mg", "Re"],
  "frac_coords": [[0.000, 0.000, 0.720], [0.000, 0.000, 0.280], [0.500, 0.500, 0.000], [0.500, 0.500, 0.500]]
}

***

{
  "formula": "MgCo2Re",
  "functional": "PBEsol",
  "state": "optimized geometry",
  "lattice": [[-1.458, -1.075, 1.972], [1.216, -1.095, 2.120], [-0.244, 6.786, 5.337]],
  "species": ["Co", "Co", "Mg", "Re"],
  "frac_coords": [[0.004, 0.004, 0.989], [0.743, 0.743, 0.770], [0.495, 0.495, 0.514], [0.257, 0.257, 0.228]]
}

***

{
  "formula": "MgCo2Re",
  "functional": "PBEsol",
  "state": "optimized geometry",
  "lattice": [[2.723, 0.000, 0.000], [0.000, 4.244, 0.000], [0.000, 0.000, 4.439]],
  "species": ["Co", "Co", "Mg", "Re"],
  "frac_coords": [[0.000, 0.000, 0.000], [0.500, 0.000, 0.500], [0.500, 0.500, 0.000], [0.000, 0.500, 0.500]]
}

***

{
  "formula": "MgCoRe2",
  "functional": "PBEsol",
  "state": "optimized geometry",
  "lattice": [[2.631, 0.000, 0.000], [0.000, 2.631, 0.000], [0.000, 0.000, 8.097]],
  "species": ["Co", "Mg", "Re", "Re"],
  "frac_coords": [[0.500, 0.500, 0.000], [0.500, 0.500, 0.500], [0.000, 0.000, 0.778], [0.000, 0.000, 0.222]]
}

***

no.,E (eV/atom),M_tot (μB per formula unit),formation energy (eV/atom)
1,-1.766,1.9,0.878
2,-7.597,0.0,0.034
3,-7.498,0.0,0.133
4,-7.323,2.8,0.308
5,-7.131,2.3,0.500
6,-8.757,0.9,0.273